Ga2CuSn, optimized geometry, DFT GGA-PBE; D(E_F) = 0.36 states/eV per atom; DFT total energy = -14.0 eV per formula unit
1.0
-3.145 -2.228 1.458
-2.454 -2.048 -2.600
1.394 -5.791 -0.019
Ga Cu Sn
2 1 1
Direct
0.055 0.055 0.835
0.279 0.279 0.163
0.668 0.668 0.996
0.498 0.498 0.506